DFT (PBE) results for a geometry-optimized ScAgB2Pb structure.

Cell: 4.1867 4.1867 5.8794 Å, 90.00 90.00 90.00°
Last column: nearest neighbours and their distance in Å.
Element x y z (fractional)
Sc: 0.0000 0.0000 0.0000  4 Pb 2.96
Ag: 0.5000 0.5000 0.5000  4 B 2.09
B: 0.0000 0.5000 0.5000  2 Ag 2.09
B: 0.5000 0.0000 0.5000  2 Ag 2.09
Pb: 0.5000 0.5000 0.0000  2 Ag 2.94, 4 Sc 2.96

- Space-group type: P4/mmm (123)
- Energy of formation: 1232 meV/atom
- Calculated total energy: -4.02 eV/atom